Record 1
Tb3Y12Ho5 (PBE, relaxed); final energy = -4.644 eV per atom; DFT formation energy = 21.5 eV per formula unit; DOS(E_F) = 154.046 states/eV per cell
1.0
-5.749 10.589 -11.031
-12.102 -9.772 4.991
6.013 8.189 12.792
Y Ho Tb
48 20 12
Cartesian
-1.482 5.796 9.880
-5.512 7.383 2.171
-0.661 7.650 3.381
-8.634 1.097 10.547
-3.156 12.281 4.881
-2.206 14.262 -1.562
-8.682 -3.274 1.871
-3.795 0.475 11.674
-6.414 2.080 13.128
-0.988 1.277 2.702
-1.243 16.087 1.139
-1.882 10.327 7.352
-14.277 2.287 -1.284
-6.643 4.003 10.161
-3.204 7.910 -3.794
-4.394 2.032 8.548
-5.693 9.930 -2.667
-6.326 1.624 4.582
-11.177 1.357 3.371
-2.965 9.507 1.432
0.334 2.701 5.490
-6.431 11.025 5.382
-5.195 5.004 -3.409
-10.544 2.289 6.731
-5.424 6.928 -6.376
-1.294 6.718 0.022
-0.577 3.476 12.191
-6.800 0.288 -0.702
-9.632 -5.255 8.314
-8.511 3.131 2.233
-15.729 0.447 -3.745
-8.236 4.462 5.506
-12.172 6.306 1.263
-3.602 4.545 1.246
-5.038 8.720 7.454
-6.145 -0.923 9.419
-11.261 5.532 -5.439
-7.444 6.975 -1.795
-8.043 8.533 -4.922
-8.873 -0.500 5.320
-10.850 7.731 4.050
-3.327 5.876 4.519
-10.595 -7.079 5.614
2.439 6.721 8.037
-9.956 -1.320 -0.600
-5.407 -2.017 1.370
3.891 8.560 10.497
-10.356 3.211 -3.127
0.000 0.000 0.000
0.132 9.389 0.881
-7.408 6.455 8.042
-2.217 4.101 7.109
-7.540 -2.934 7.161
-12.679 0.116 0.671
-4.430 2.552 -1.290
0.841 8.892 6.081
-5.919 4.504 3.376
3.007 4.095 6.396
-2.874 5.295 -5.515
-4.298 11.941 -0.409
-6.051 -4.886 2.495
-8.926 0.409 -3.020
-3.754 -0.293 3.691
-3.045 -0.791 8.891
-8.084 9.301 3.062
-0.563 13.886 3.544
-11.275 -4.879 3.208
-9.621 4.906 -0.357
-4.364 7.247 -0.849
-8.217 -0.089 2.181
-6.798 -1.085 12.582
1.517 6.046 11.062
-13.355 2.961 -4.310
-3.740 3.706 11.555
-7.474 1.761 7.602
-8.098 5.301 -4.802
-5.040 10.092 -5.830
-11.143 4.510 4.089
-0.695 4.497 2.663
-3.621 9.096 4.572

***

Record 2
Tb7Y16Ho6 (PBE, relaxed); final energy = -5.376 eV per atom; DFT formation energy = 7.4 eV per formula unit; DOS(E_F) = 61.957 states/eV per cell
1.0
2.659 -5.023 9.601
9.146 -6.359 0.623
8.829 3.487 5.862
Ho Y Tb
6 16 7
Cartesian
13.834 -3.454 7.327
6.800 -4.442 8.758
9.634 -0.534 7.041
10.855 -2.841 11.450
11.000 -7.361 9.044
9.779 -5.055 4.636
16.738 -4.382 9.247
12.527 -0.660 9.151
7.916 -1.308 10.089
7.012 0.783 4.950
7.172 -4.187 2.306
11.822 -2.112 4.684
7.211 -2.759 5.622
8.107 -7.235 6.935
2.554 -0.977 1.991
13.623 -8.678 11.135
12.718 -6.587 5.997
13.462 -3.708 13.780
18.080 -6.918 14.094
13.423 -5.136 10.464
8.812 -5.784 11.402
3.896 -3.513 6.838
4.573 -3.179 0.311
4.415 1.743 2.931
1.329 -2.512 4.800
5.744 -0.768 7.731
8.988 -1.436 3.242
0.000 0.000 0.000
5.902 -5.691 5.112

***

Record 3
Tb3Y7Ho (PBE, relaxed); distance to the lowest polymorph of the same formula = 0.049 eV/atom; final energy = -5.597 eV per atom; DFT formation energy = 2.1 eV per formula unit; DOS(E_F) = 18.155 states/eV per cell
1.0
8.610 0.000 0.000
0.000 7.081 0.000
0.000 -3.540 6.132
Tb Y Ho
3 7 1
Cartesian
6.738 1.767 3.068
6.738 -1.767 3.068
6.738 0.000 6.128
1.011 -1.756 5.102
1.019 3.540 2.044
3.871 5.300 1.028
1.011 0.000 2.060
3.871 1.781 1.028
3.871 3.540 4.076
1.011 1.756 5.102
3.855 0.000 4.088

***

Record 4
Tb3Y2Ho8 (PBE, relaxed); distance to the lowest polymorph of the same formula = 0.081 eV/atom; final energy = -4.638 eV per atom; DFT formation energy = 3.1 eV per formula unit; DOS(E_F) = 22.768 states/eV per cell
1.0
-1.659 5.159 1.320
-2.261 1.108 -7.172
-8.053 -4.111 5.937
Ho Tb Y
8 3 2
Cartesian
-4.083 4.219 1.941
-3.465 2.132 -0.901
-7.890 -2.063 -1.856
-4.175 -0.623 -2.808
-8.508 0.024 0.987
-7.798 2.779 2.894
-4.422 2.600 -3.934
-7.550 -0.444 4.020
-9.665 -3.320 0.821
-0.649 0.317 -2.055
-0.829 2.579 0.660
-5.262 0.861 1.795
-6.711 1.295 -1.710

***

Record 5
TbY3Ho8 (PBE, relaxed); final energy = -4.300 eV per atom; DFT formation energy = 9.0 eV per formula unit; DOS(E_F) = 12.874 states/eV per cell
1.0
6.678 0.000 -3.777
-2.137 6.327 -3.777
0.848 1.181 9.289
Ho Y Tb
8 3 1
Cartesian
0.836 5.833 -2.403
0.129 4.848 4.138
1.201 1.674 6.033
4.187 5.833 -4.299
1.909 2.659 -0.508
3.480 4.848 2.242
4.552 1.674 4.138
5.259 2.659 -2.403
2.270 3.163 -3.777
4.898 2.172 0.867
0.491 5.335 0.867
0.000 0.000 0.000

***

Record 6
TbY7Ho4 (PBE, relaxed); distance to the lowest polymorph of the same formula = 0.000 eV/atom; final energy = -5.593 eV per atom; DFT formation energy = 1.1 eV per formula unit; DOS(E_F) = 21.866 states/eV per cell
1.0
-0.654 -6.285 2.489
6.210 -1.846 -0.587
2.949 -4.125 10.533
Y Ho Tb
7 4 1
Cartesian
3.815 -3.574 6.681
4.690 -8.683 5.754
3.035 -2.358 0.744
5.470 -9.899 11.691
-0.327 -3.143 1.245
1.852 -6.481 5.764
6.653 -5.776 6.672
4.472 -5.671 3.928
4.033 -6.585 8.508
1.704 -3.518 3.926
6.800 -8.739 8.509
0.000 0.000 0.000

***

Record 7
Tb4Y3Ho3 (PBE, relaxed); final energy = -5.071 eV per atom; DFT formation energy = 0.9 eV per formula unit; DOS(E_F) = 7.968 states/eV per cell
1.0
3.748 0.000 0.000
0.000 9.264 -0.038
0.000 0.043 9.264
Tb Ho Y
4 3 3
Cartesian
0.000 5.832 3.424
0.000 3.460 5.817
0.000 8.128 8.035
0.000 1.201 1.169
0.000 4.674 9.244
1.874 1.612 7.681
0.000 0.023 4.633
1.874 6.239 6.189
1.874 7.694 1.546
1.874 3.063 3.041

***

Record 8
Tb6Y3Ho (PBE, relaxed); distance to the lowest polymorph of the same formula = 0.000 eV/atom; final energy = -5.045 eV per atom; DFT formation energy = 1.3 eV per formula unit; DOS(E_F) = 25.554 states/eV per cell
1.0
-6.597 -5.430 2.571
-3.640 0.512 -8.258
6.002 -6.598 1.464
Tb Y Ho
12 6 2
Cartesian
0.560 -4.693 -5.452
-1.107 -8.224 0.449
-4.903 -7.256 -4.027
0.390 -4.490 -0.087
-2.034 -2.393 -5.098
-5.731 -5.124 -1.647
1.217 -6.622 -2.467
-2.784 -5.169 0.446
-1.585 -8.259 -3.003
0.320 -10.479 2.965
-5.003 -1.406 -7.013
-0.640 -1.603 -2.003
-4.254 -7.151 2.629
-2.029 -4.929 -2.823
-4.358 -8.359 -0.560
-2.723 -11.097 -1.776
-3.822 -2.322 -1.546
-2.291 -6.268 -5.951
-5.028 -3.955 -4.739
3.652 -5.208 -0.598

***

Computed magnetic moment (μB/cell) in order:
0.0; 0.0; 0.0; 0.0; 0.0; 0.0; 0.0; 0.0